Version one
This record from the Alexandria database describes a relaxed Nd2SmSc3 crystal. The functional is GGA-PBE.

Computed properties:
M_tot	0.0	μB per cell

abc: 3.583 3.583 13.654
angles: 90.00 90.00 90.00
Sites, in units of the cell vectors:
Nd 0.000 0.000 0.167
Nd 0.000 0.000 0.833
Sm 0.000 0.000 0.500
Sc 0.500 0.500 0.000
Sc 0.500 0.500 0.335
Sc 0.500 0.500 0.665

=====

Version two
This record from the Alexandria database describes a relaxed Nd2SmSc3 crystal. The functional is GGA-PBE.

Computed properties:
M_tot	0.0	μB per cell

abc: 8.475 8.475 9.941
angles: 120.84 120.84 36.92
Sites, in units of the cell vectors:
Nd 0.031 0.031 0.344
Nd 0.301 0.301 0.655
Nd 0.699 0.699 0.345
Nd 0.969 0.969 0.656
Sm 0.365 0.365 0.345
Sm 0.635 0.635 0.655
Sc 0.115 0.115 0.095
Sc 0.219 0.219 0.906
Sc 0.449 0.449 0.096
Sc 0.551 0.551 0.904
Sc 0.781 0.781 0.094
Sc 0.885 0.885 0.905

=====

Relative energies, in kJ/mol of atoms, with the most stable structure set to zero: version one 0.0; version two 3.3.

=====

Version one
This record from the Alexandria database describes a relaxed NdSmSc4 crystal. The functional is GGA-PBE.

Computed properties:
M_tot	0.0	μB per cell

abc: 9.896 9.896 5.383
angles: 90.00 90.00 141.09
Sites, in units of the cell vectors:
Nd 0.124 0.876 0.750
Nd 0.876 0.124 0.250
Sm 0.374 0.626 0.250
Sm 0.626 0.374 0.750
Sc 0.042 0.459 0.750
Sc 0.210 0.293 0.750
Sc 0.293 0.210 0.250
Sc 0.459 0.042 0.250
Sc 0.541 0.958 0.750
Sc 0.707 0.790 0.750
Sc 0.790 0.707 0.250
Sc 0.958 0.541 0.250

=====

Version two
This record from the Alexandria database describes a relaxed NdSmSc4 crystal. The functional is GGA-PBE.

Computed properties:
M_tot	0.0	μB per cell

abc: 5.374 10.261 6.036
angles: 90.00 90.00 90.00
Sites, in units of the cell vectors:
Nd 0.250 0.250 0.074
Nd 0.750 0.750 0.926
Sm 0.250 0.750 0.574
Sm 0.750 0.250 0.426
Sc 0.250 0.078 0.593
Sc 0.250 0.422 0.593
Sc 0.250 0.579 0.093
Sc 0.250 0.921 0.093
Sc 0.750 0.079 0.907
Sc 0.750 0.421 0.907
Sc 0.750 0.578 0.407
Sc 0.750 0.922 0.407

=====

Relative energies, in kJ/mol of atoms, with the most stable structure set to zero: version one 3.1; version two 0.0.

=====

Version one
This record from the Alexandria database describes a relaxed Nd4Sm3Sc crystal. The functional is GGA-PBE.

Computed properties:
M_tot	0.0	μB per cell

abc: 11.642 7.314 6.308
angles: 90.00 90.00 90.00
Sites, in units of the cell vectors:
Nd 0.000 0.129 0.000
Nd 0.000 0.871 0.484
Nd 0.242 0.870 0.832
Nd 0.258 0.130 0.332
Nd 0.500 0.129 0.984
Nd 0.500 0.871 0.500
Nd 0.742 0.130 0.332
Nd 0.758 0.870 0.832
Sm 0.000 0.377 0.494
Sm 0.249 0.380 0.823
Sm 0.251 0.620 0.323
Sm 0.500 0.623 0.994
Sm 0.749 0.620 0.323
Sm 0.751 0.380 0.823
Sc 0.000 0.619 0.991
Sc 0.500 0.381 0.491

=====

Version two
This record from the Alexandria database describes a relaxed Nd4Sm3Sc crystal. The functional is GGA-PBE.

Computed properties:
M_tot	0.0	μB per cell

abc: 3.524 8.930 8.931
angles: 81.70 78.93 78.81
Sites, in units of the cell vectors:
Nd 0.135 0.124 0.112
Nd 0.136 0.613 0.624
Nd 0.864 0.387 0.376
Nd 0.865 0.876 0.888
Sm 0.262 0.737 0.237
Sm 0.500 0.000 0.500
Sm 0.738 0.263 0.763
Sc 0.000 0.500 0.000

=====

Relative energies, in kJ/mol of atoms, with the most stable structure set to zero: version one 0.0; version two 7.1.